Here is LiMnSbO4 after structural relaxation from Alexandria. Energies are from PBE with a Hubbard U.

Unit cell a=6.238 b=6.335 c=6.293 alpha=119.78 beta=90.00 gamma=119.50
Last column: magnetic moment on the atom in μB.
Fractional positions:
Mn: 0.500 0.000 0.500  4.63
Mn: 0.500 0.000 0.000  4.63
Sb: 0.500 0.500 0.000  0.01
Sb: 0.000 0.500 0.000  0.01
O: 0.250 0.499 0.781  0.03
O: 0.705 0.935 0.218  0.04
O: 0.750 0.501 0.219  0.03
O: 0.250 0.499 0.219  0.03
O: 0.750 0.501 0.781  0.03
O: 0.770 0.065 0.782  0.04
O: 0.295 0.065 0.782  0.04
O: 0.230 0.935 0.218  0.04
Li: 0.096 0.192 0.346  0.00
Li: 0.904 0.808 0.654  0.00

DOS at the Fermi energy, states/eV per cell: 0.126
Calculated total energy, eV/atom: -6.4404
SG: No. 74
Energy above the most stable polymorph in this dataset, meV/atom: 24
Magnetic moment, μB/cell: 10.00